1.
# Zr12Tc3Mo5

A geometry-optimized Zr12Tc3Mo5 structure (PBE, Alexandria via LeMat-Bulk).

Cell lengths 15.574, 15.574, 15.574 Å; angles 90.00, 90.00, 90.00 degrees
Space group Ia-3d (No. 230)
Inequivalent atoms, fractional coordinates:
Zr 0.024 0.078 0.646 (multiplicity 96)
Tc 0.000 0.250 0.125 (multiplicity 24)
Mo 0.000 0.000 0.000 (multiplicity 16)
Mo 0.000 0.250 0.375 (multiplicity 24)

## Properties
Energy = -167.4 eV per formula unit
Volume = 3777 Å³/cell
M_tot = 0.0000 μB per atom

2.
# Cs2CaPdCl6

A geometry-optimized Cs2CaPdCl6 structure (PBE, Alexandria via LeMat-Bulk).

Cell lengths 10.599, 10.599, 10.599 Å; angles 90.00, 90.00, 90.00 degrees
Space group Fm-3m (No. 225)
Inequivalent atoms, fractional coordinates:
Cs 0.250 0.250 0.250 (multiplicity 8)
Ca 0.000 0.000 0.000 (multiplicity 4)
Pd 0.000 0.000 0.500 (multiplicity 4)
Cl 0.000 0.000 0.258 (multiplicity 24)

## Properties
Energy = -36.1 eV per formula unit
Volume = 1191 Å³/cell
M_tot = 0.2000 μB per atom
Energy relative to the elements, uncorrected = -155.9 kJ per mole of atoms

3.
# LaNb2Re2

A geometry-optimized LaNb2Re2 structure (PBE, Alexandria via LeMat-Bulk).

Cell lengths 4.435, 4.435, 10.987 Å; angles 90.00, 90.00, 90.00 degrees
Space group I4/mmm (No. 139)
Inequivalent atoms, fractional coordinates:
La 0.000 0.000 0.000 (multiplicity 2)
Nb 0.000 0.500 0.250 (multiplicity 4)
Re 0.000 0.000 0.382 (multiplicity 4)

## Properties
Energy = -49.7 eV per formula unit
Volume = 216 Å³/cell
M_tot = 0.0000 μB per atom
Relative energy among the computed polymorphs = 0.000 eV per atom

4.
# CaTeS3

A geometry-optimized CaTeS3 structure (PBE, Alexandria via LeMat-Bulk).

Cell lengths 5.050, 5.050, 5.050 Å; angles 90.00, 90.00, 90.00 degrees
Space group Pm-3m (No. 221)
Inequivalent atoms, fractional coordinates:
Ca 0.000 0.000 0.000 (multiplicity 1)
Te 0.500 0.500 0.500 (multiplicity 1)
S 0.000 0.500 0.500 (multiplicity 3)

## Properties
Energy = -19.6 eV per formula unit
Volume = 129 Å³/cell
M_tot = 0.0000 μB per atom
Energy relative to the elements, uncorrected = -40.9 kJ per mole of atoms
Relative energy among the computed polymorphs = 0.000 eV per atom

5.
# LaCeBiTe

A geometry-optimized LaCeBiTe structure (PBE, Alexandria via LeMat-Bulk).

Cell lengths 7.907, 7.907, 7.907 Å; angles 90.00, 90.00, 90.00 degrees
Space group F-43m (No. 216)
Inequivalent atoms, fractional coordinates:
La 0.000 0.000 0.000 (multiplicity 4)
Ce 0.000 0.000 0.500 (multiplicity 4)
Bi 0.250 0.250 0.750 (multiplicity 4)
Te 0.250 0.250 0.250 (multiplicity 4)

## Properties
Energy = -22.0 eV per formula unit
Volume = 494 Å³/cell
M_tot = 0.4709 μB per atom
Energy relative to the elements, uncorrected = -100.4 kJ per mole of atoms
Relative energy among the computed polymorphs = 0.171 eV per atom

6.
# Cs3Sr2CeS6

A geometry-optimized Cs3Sr2CeS6 structure (PBE, Alexandria via LeMat-Bulk).

Cell lengths 7.578, 13.118, 8.384 Å; angles 90.00, 107.50, 90.00 degrees
Space group C2/m (No. 12)
Inequivalent atoms, fractional coordinates:
Cs 0.000 0.000 0.000 (multiplicity 2)
Cs 0.000 0.328 0.000 (multiplicity 4)
Sr 0.000 0.166 0.500 (multiplicity 4)
Ce 0.000 0.500 0.500 (multiplicity 2)
S 0.216 0.346 0.687 (multiplicity 8)
S 0.244 0.500 0.311 (multiplicity 4)

## Properties
Energy = -55.4 eV per formula unit
Volume = 795 Å³/cell
M_tot = 0.0004 μB per atom
Energy relative to the elements, uncorrected = -150.9 kJ per mole of atoms